PrMg2Au4 | PBE | relaxed

abc: 7.139 7.139 5.616
angles: 90.00 90.00 90.00
Space group I4/mmm (No. 139)
Inequivalent atoms, fractional coordinates:
Pr 0.000 0.000 0.000
Mg 0.000 0.500 0.250
Au 0.198 0.198 0.500

Properties
ΔE_f: -0.688 eV/atom

=====

PrMg2Au | PBE | relaxed

abc: 3.442 3.442 8.008
angles: 90.00 90.00 90.00
Space group P4/mmm (No. 123)
Inequivalent atoms, fractional coordinates:
Pr 0.000 0.000 0.000
Mg 0.500 0.500 0.311
Au 0.000 0.000 0.500

Properties
ΔE_f: -0.340 eV/atom

=====

PrMg3Au2 | PBE | relaxed

abc: 16.881 4.409 8.532
angles: 90.00 119.01 90.00
Space group C2/m (No. 12)
Inequivalent atoms, fractional coordinates:
Pr 0.140 0.000 0.068
Mg 0.044 0.000 0.381
Mg 0.113 0.500 0.720
Mg 0.185 0.500 0.458
Au 0.015 0.500 0.174
Au 0.208 0.000 0.709

Properties
ΔE_f: -0.521 eV/atom